## V3Fe2O8 (PBE+U)

Data for a relaxed structure of V3Fe2O8.

Results
Calculated volume   145.1 Å³/f.u.
DFT total energy   -7.40 eV per atom

Unit cell a=5.9697 b=5.9697 c=9.3999 alpha=90.00 beta=90.00 gamma=120.00
Element x y z (fractional)
1 V 0.1600 0.3200 0.0000
2 V 0.1600 0.8400 0.0000
3 V 0.3200 0.1600 0.5000
4 V 0.6800 0.8400 0.0000
5 V 0.8400 0.1600 0.5000
6 V 0.8400 0.6800 0.5000
7 Fe 0.3333 0.6667 0.3174
8 Fe 0.3333 0.6667 0.7116
9 Fe 0.6667 0.3333 0.2116
10 Fe 0.6667 0.3333 0.8174
11 O 0.0000 0.0000 0.3854
12 O 0.0000 0.0000 0.8854
13 O 0.0310 0.5155 0.8666
14 O 0.1700 0.3400 0.6010
15 O 0.1700 0.8300 0.6010
16 O 0.3333 0.6667 0.1129
17 O 0.3400 0.1700 0.1010
18 O 0.4845 0.5155 0.8666
19 O 0.4845 0.9690 0.8666
20 O 0.5155 0.0310 0.3666
21 O 0.5155 0.4845 0.3666
22 O 0.6600 0.8300 0.6010
23 O 0.6667 0.3333 0.6129
24 O 0.8300 0.1700 0.1010
25 O 0.8300 0.6600 0.1010
26 O 0.9690 0.4845 0.3666